Record 1
NaCo2PBr | PBE | optimized geometry

Cell: 4.145 4.145 6.722 Å, 90.00 90.00 90.00°
Space group P4/mmm (No. 123)
One atom of each set of equivalent atoms:
Na1 0.000 0.000 0.000 [1 per cell]
Co1 0.000 0.500 0.500 [2 per cell]
P1 0.000 0.000 0.500 [1 per cell]
Br1 0.500 0.500 0.000 [1 per cell]

Results
Energy relative to the elements, uncorrected in eV/atom: 0.029
Crystal system: tetragonal
Spin magnetization in μB per cell: 2.0


Record 2
RbNaCo2Br8 | PBE | optimized geometry

Cell: 6.9454 6.9454 29.7633 Å, 90.00 90.00 120.00°
Space group R-3 (No. 148, hexagonal axes)
One atom of each set of equivalent atoms:
Rb1 0.0000 0.0000 0.0000 [3 per cell]
Na1 0.0000 0.0000 0.5000 [3 per cell]
Co1 0.0000 0.0000 0.2517 [6 per cell]
Br1 0.0000 0.0000 0.3298 [6 per cell]
Br2 0.0048 0.3578 0.4394 [18 per cell]

Results
Energy relative to the elements, uncorrected in eV/atom: -0.727
Crystal system: trigonal
Spin magnetization in μB per cell: 24.0


Record 3
Rb3Na3CoBr8 | PBE | optimized geometry

Cell: 8.7911 8.7911 23.4680 Å, 90.00 90.00 120.00°
Space group R-3m (No. 166, hexagonal axes)
One atom of each set of equivalent atoms:
Rb1 0.0000 0.5000 0.0000 [9 per cell]
Na1 0.0000 0.5000 0.5000 [9 per cell]
Co1 0.0000 0.0000 0.5000 [3 per cell]
Br1 0.0000 0.0000 0.2365 [6 per cell]
Br2 0.0405 0.5203 0.2292 [18 per cell]

Results
Energy relative to the elements, uncorrected in eV/atom: -1.338
Crystal system: trigonal
Spin magnetization in μB per cell: 9.0


Record 4
RbNaCoBr4 | PBE | optimized geometry

Cell: 7.123 7.563 9.250 Å, 90.00 107.67 90.00°
Space group P2_1/m (No. 11)
One atom of each set of equivalent atoms:
Rb1 0.249 0.250 0.437 [2 per cell]
Na1 0.275 0.250 0.945 [2 per cell]
Co1 0.277 0.750 0.178 [2 per cell]
Br1 0.059 0.750 0.926 [2 per cell]
Br2 0.088 0.750 0.354 [2 per cell]
Br3 0.499 0.003 0.779 [4 per cell]

Results
Energy relative to the elements, uncorrected in eV/atom: -1.075
Crystal system: monoclinic
Spin magnetization in μB per cell: 6.0


Record 5
NaTiCo2Br | PBE | optimized geometry

Cell: 4.555 4.555 5.051 Å, 90.00 90.00 90.00°
Space group P4/mmm (No. 123)
One atom of each set of equivalent atoms:
Na1 0.000 0.000 0.000 [1 per cell]
Ti1 0.000 0.000 0.500 [1 per cell]
Co1 0.000 0.500 0.000 [2 per cell]
Br1 0.500 0.500 0.500 [1 per cell]

Results
Energy relative to the elements, uncorrected in eV/atom: 1.785
Crystal system: tetragonal
Spin magnetization in μB per cell: 3.5


Record 6
NaTlCo2Br8 | PBE | optimized geometry

Cell: 6.8689 6.8689 29.2153 Å, 90.00 90.00 120.00°
Space group R-3 (No. 148, hexagonal axes)
One atom of each set of equivalent atoms:
Na1 0.0000 0.0000 0.0000 [3 per cell]
Tl1 0.0000 0.0000 0.5000 [3 per cell]
Co1 0.0000 0.0000 0.2468 [6 per cell]
Br1 0.0000 0.0000 0.1675 [6 per cell]
Br2 0.0014 0.6433 0.0621 [18 per cell]

Results
Energy relative to the elements, uncorrected in eV/atom: -0.559
Crystal system: trigonal
Spin magnetization in μB per cell: 24.0